(1)
Material: MgReAs2
Method: DFT, PBE
State: relaxed Values from VASP.

Quantum ESPRESSO input file:
```
&SYSTEM
  ibrav = 0, nat = 4, ntyp = 3
/
ATOMIC_SPECIES
As 74.92 As.upf
Re 186.21 Re.upf
Mg 24.30 Mg.upf
ATOMIC_POSITIONS angstrom
As -1.668 -2.378 0.781
Re -1.065 -3.916 2.902
As 1.134 -2.894 3.989
Mg 0.554 -1.413 1.949
CELL_PARAMETERS angstrom
-2.939 0.332 1.077
-1.116 -3.254 -2.043
1.204 -3.071 4.235
```

Properties
- mass density (Mg/m³) = 8.85
- formation enthalpy at 0 K (eV per atom) = 0.192
- final energy (eV per cell) = -22.57
- DOS(E_F) (states/eV/cell) = 3.8

(2)
Material: MgRe2As
Method: DFT, PBE
State: relaxed Values from VASP.

Quantum ESPRESSO input file:
```
&SYSTEM
  ibrav = 0, nat = 4, ntyp = 3
/
ATOMIC_SPECIES
Mg 24.30 Mg.upf
As 74.92 As.upf
Re 186.21 Re.upf
ATOMIC_POSITIONS angstrom
Mg 0.839 1.284 6.873
As 0.000 0.000 4.402
Re 0.839 1.284 2.212
Re 0.000 0.000 0.106
CELL_PARAMETERS angstrom
2.819 -0.010 0.000
-1.141 2.578 0.000
0.000 0.000 9.062
```

Properties
- mass density (Mg/m³) = 11.91
- formation enthalpy at 0 K (eV per atom) = 0.355
- final energy (eV per cell) = -29.72
- DOS(E_F) (states/eV/cell) = 3.4

(3)
Material: MgRe2As
Method: DFT, PBE
State: relaxed Values from VASP.

Quantum ESPRESSO input file:
```
&SYSTEM
  ibrav = 0, nat = 4, ntyp = 3
/
ATOMIC_SPECIES
Re 186.21 Re.upf
Mg 24.30 Mg.upf
As 74.92 As.upf
ATOMIC_POSITIONS angstrom
Re 3.894 2.303 0.000
Re 0.000 0.000 0.000
Mg 2.625 0.005 1.332
As 1.269 2.298 1.332
CELL_PARAMETERS angstrom
5.250 0.009 0.000
2.537 4.596 0.000
-3.894 -2.303 2.664
```

Properties
- mass density (Mg/m³) = 12.20
- formation enthalpy at 0 K (eV per atom) = 0.522
- final energy (eV per cell) = -29.05
- DOS(E_F) (states/eV/cell) = 2.6

(4)
Material: MgReAs2
Method: DFT, PBE
State: relaxed Values from VASP.

Quantum ESPRESSO input file:
```
&SYSTEM
  ibrav = 0, nat = 4, ntyp = 3
/
ATOMIC_SPECIES
Mg 24.30 Mg.upf
As 74.92 As.upf
Re 186.21 Re.upf
ATOMIC_POSITIONS angstrom
Mg -2.998 0.680 2.763
As -5.298 1.635 3.760
Re -2.189 1.235 0.105
As -0.342 -0.138 0.873
CELL_PARAMETERS angstrom
-2.679 3.517 0.103
-4.242 0.835 -0.932
-0.297 -2.077 5.829
```

Properties
- mass density (Mg/m³) = 7.39
- formation enthalpy at 0 K (eV per atom) = -0.010
- final energy (eV per cell) = -23.38
- DOS(E_F) (states/eV/cell) = 2.1

(5)
Material: MgRe2As
Method: DFT, PBE
State: relaxed Values from VASP.

Quantum ESPRESSO input file:
```
&SYSTEM
  ibrav = 0, nat = 4, ntyp = 3
/
ATOMIC_SPECIES
Mg 24.30 Mg.upf
As 74.92 As.upf
Re 186.21 Re.upf
ATOMIC_POSITIONS angstrom
Mg 2.812 -0.342 1.292
As 3.678 2.247 0.000
Re 1.474 1.999 1.275
Re 0.091 0.056 0.000
CELL_PARAMETERS angstrom
5.219 0.031 0.017
2.408 4.630 -0.017
-3.386 -3.031 2.567
```

Properties
- mass density (Mg/m³) = 12.69
- formation enthalpy at 0 K (eV per atom) = 0.400
- final energy (eV per cell) = -29.54
- DOS(E_F) (states/eV/cell) = 3.6

(6)
Material: Mg2ReAs
Method: DFT, PBE
State: relaxed Values from VASP.

Quantum ESPRESSO input file:
```
&SYSTEM
  ibrav = 0, nat = 4, ntyp = 3
/
ATOMIC_SPECIES
Mg 24.30 Mg.upf
As 74.92 As.upf
Re 186.21 Re.upf
ATOMIC_POSITIONS angstrom
Mg 0.000 0.000 4.238
As 1.419 1.419 6.483
Re 1.419 1.419 2.161
Mg 0.000 0.000 0.084
CELL_PARAMETERS angstrom
2.837 0.000 0.000
0.000 2.837 0.000
0.000 0.000 8.643
```

Properties
- mass density (Mg/m³) = 7.39
- formation enthalpy at 0 K (eV per atom) = 0.177
- final energy (eV per cell) = -19.58
- DOS(E_F) (states/eV/cell) = 3.3

(7)
Material: Mg2ReAs
Method: DFT, PBE
State: relaxed Values from VASP.

Quantum ESPRESSO input file:
```
&SYSTEM
  ibrav = 0, nat = 4, ntyp = 3
/
ATOMIC_SPECIES
Re 186.21 Re.upf
As 74.92 As.upf
Mg 24.30 Mg.upf
ATOMIC_POSITIONS angstrom
Re -2.222 1.445 -3.377
As -1.512 -0.734 -2.456
Mg -0.071 0.046 -0.108
Mg -3.072 0.614 -0.462
CELL_PARAMETERS angstrom
-4.063 2.976 -1.811
-0.626 0.073 -5.314
0.155 -3.202 4.285
```

Properties
- mass density (Mg/m³) = 7.37
- formation enthalpy at 0 K (eV per atom) = 0.115
- final energy (eV per cell) = -19.83
- DOS(E_F) (states/eV/cell) = 1.8

(8)
Material: MgReAs2
Method: DFT, PBE
State: relaxed Values from VASP.

Quantum ESPRESSO input file:
```
&SYSTEM
  ibrav = 0, nat = 4, ntyp = 3
/
ATOMIC_SPECIES
As 74.92 As.upf
Mg 24.30 Mg.upf
Re 186.21 Re.upf
ATOMIC_POSITIONS angstrom
As 0.000 0.000 3.801
Mg 1.554 1.554 1.775
Re 1.554 1.554 5.325
As 0.000 0.000 6.849
CELL_PARAMETERS angstrom
3.107 0.000 0.000
0.000 3.107 0.000
0.000 0.000 7.100
```

Properties
- mass density (Mg/m³) = 8.73
- formation enthalpy at 0 K (eV per atom) = 0.003
- final energy (eV per cell) = -23.33
- DOS(E_F) (states/eV/cell) = 1.8

(9)
Material: Mg3ReAs
Method: DFT, PBE
State: relaxed Values from VASP.

Quantum ESPRESSO input file:
```
&SYSTEM
  ibrav = 0, nat = 5, ntyp = 3
/
ATOMIC_SPECIES
Re 186.21 Re.upf
Mg 24.30 Mg.upf
As 74.92 As.upf
ATOMIC_POSITIONS angstrom
Re 2.453 2.453 2.453
Mg 0.000 2.453 0.000
Mg 2.453 0.000 0.000
Mg 0.000 0.000 2.453
As 0.000 0.000 0.000
CELL_PARAMETERS angstrom
4.906 0.000 0.000
0.000 4.906 0.000
0.000 0.000 4.906
```

Properties
- mass density (Mg/m³) = 4.70
- formation enthalpy at 0 K (eV per atom) = 0.929
- final energy (eV per cell) = -17.24
- DOS(E_F) (states/eV/cell) = 3.3

(10)
Material: Mg2ReAs
Method: DFT, PBE
State: relaxed Values from VASP.

Quantum ESPRESSO input file:
```
&SYSTEM
  ibrav = 0, nat = 4, ntyp = 3
/
ATOMIC_SPECIES
Mg 24.30 Mg.upf
Re 186.21 Re.upf
As 74.92 As.upf
ATOMIC_POSITIONS angstrom
Mg -2.110 -2.199 0.267
Re 0.273 -3.720 0.937
Mg 0.483 -6.576 1.656
As -1.902 -5.034 0.981
CELL_PARAMETERS angstrom
-2.532 0.309 1.967
-1.978 -0.757 -2.428
0.502 -6.833 1.721
```

Properties
- mass density (Mg/m³) = 7.02
- formation enthalpy at 0 K (eV per atom) = 0.032
- final energy (eV per cell) = -20.16
- DOS(E_F) (states/eV/cell) = 1.5

(11)
Material: MgRe2As
Method: DFT, PBE
State: relaxed Values from VASP.

Quantum ESPRESSO input file:
```
&SYSTEM
  ibrav = 0, nat = 4, ntyp = 3
/
ATOMIC_SPECIES
Re 186.21 Re.upf
As 74.92 As.upf
Mg 24.30 Mg.upf
ATOMIC_POSITIONS angstrom
Re 0.000 0.000 0.000
As 2.459 0.020 1.445
Mg -1.059 2.219 1.445
Re 1.400 2.240 0.000
CELL_PARAMETERS angstrom
4.918 0.040 0.000
-2.119 4.439 0.000
0.000 0.000 2.890
```

Properties
- mass density (Mg/m³) = 12.37
- formation enthalpy at 0 K (eV per atom) = 0.638
- final energy (eV per cell) = -28.59
- DOS(E_F) (states/eV/cell) = 4.3

(12)
Material: MgReAs2
Method: DFT, PBE
State: relaxed Values from VASP.

Quantum ESPRESSO input file:
```
&SYSTEM
  ibrav = 0, nat = 4, ntyp = 3
/
ATOMIC_SPECIES
Mg 24.30 Mg.upf
As 74.92 As.upf
Re 186.21 Re.upf
ATOMIC_POSITIONS angstrom
Mg -6.029 3.636 3.408
As -4.144 2.422 2.066
As -7.308 3.181 -0.275
Re -2.010 1.212 1.136
CELL_PARAMETERS angstrom
-3.069 3.043 -0.645
-4.364 0.136 0.164
-0.606 1.669 5.025
```

Properties
- mass density (Mg/m³) = 8.57
- formation enthalpy at 0 K (eV per atom) = 0.064
- final energy (eV per cell) = -23.09
- DOS(E_F) (states/eV/cell) = 2.1